# PBE with a Hubbard U Mg3MoO4, optimized geometry
data_Mg3MoO4
_space_group_name_H-M_alt 'P m -3 m'
_space_group_IT_number 221
_space_group_name_Hall '-P 4 2 3'
_cell_length_a 4.391
_cell_length_b 4.391
_cell_length_c 4.391
_cell_angle_alpha 90.00
_cell_angle_beta 90.00
_cell_angle_gamma 90.00
loop_
_atom_site_label
_atom_site_type_symbol
_atom_site_fract_x
_atom_site_fract_y
_atom_site_fract_z
Mg1 Mg 0.000 0.000 0.500
Mo1 Mo 0.500 0.500 0.500
O1 O 0.000 0.000 0.000
O2 O 0.000 0.500 0.500
# Final energy, eV/atom: -5.987